Record 1
! SrYIr2 (GGA-PBE, optimized geometry); values from VASP
! M_tot: 0.00 μB/f.u.
! Symmetry: No. 47
! V: 21.71 Å³/atom
! ΔE_f: -0.332 eV per atom
! Relative energy among the computed polymorphs: 0 meV/atom
&SYSTEM
  ibrav = 0, nat = 4, ntyp = 3
/
ATOMIC_SPECIES
Sr 87.62 Sr.upf
Y 88.91 Y.upf
Ir 192.22 Ir.upf
CELL_PARAMETERS angstrom
3.402 0.000 0.000
0.000 3.353 -0.001
0.000 3.351 7.611
ATOMIC_POSITIONS angstrom
Sr 1.701 1.676 1.902
Y 1.701 5.028 5.707
Ir 0.000 3.352 7.395
Ir 0.000 3.351 4.020


Record 2
! SrY2Ir9 (GGA-PBE, optimized geometry); values from VASP
! M_tot: 0.00 μB/f.u.
! Symmetry: No. 166
! V: 18.15 Å³/atom
! ΔE_f: -0.448 eV per atom
&SYSTEM
  ibrav = 0, nat = 12, ntyp = 3
/
ATOMIC_SPECIES
Y 88.91 Y.upf
Ir 192.22 Ir.upf
Sr 87.62 Sr.upf
CELL_PARAMETERS angstrom
-0.546 -3.355 -4.157
4.304 -2.498 -2.018
-0.010 -8.587 3.463
ATOMIC_POSITIONS angstrom
Y 3.231 -8.617 -3.875
Y 0.516 -5.823 1.163
Ir 2.498 -12.473 -0.667
Ir 1.296 -6.243 -3.797
Ir 2.451 -8.196 1.085
Ir 3.714 -5.816 -2.731
Ir 1.568 -4.571 -1.725
Ir 1.874 -7.220 -1.356
Ir 1.250 -1.966 -2.046
Ir 0.033 -8.623 0.018
Ir 2.179 -9.868 -0.988
Sr 0.000 0.000 0.000


Record 3
! SrY2Ir2 (GGA-PBE, optimized geometry); values from VASP
! M_tot: 0.00 μB/f.u.
! Symmetry: No. 139
! V: 28.69 Å³/atom
! ΔE_f: -0.190 eV per atom
! Relative energy among the computed polymorphs: 374 meV/atom
&SYSTEM
  ibrav = 0, nat = 5, ntyp = 3
/
ATOMIC_SPECIES
Y 88.91 Y.upf
Ir 192.22 Ir.upf
Sr 87.62 Sr.upf
CELL_PARAMETERS angstrom
5.133 0.000 0.000
0.000 5.133 0.000
2.567 2.567 5.443
ATOMIC_POSITIONS angstrom
Y 2.567 2.567 1.794
Y 5.133 5.133 3.649
Ir 5.133 2.567 2.721
Ir 2.567 5.133 2.721
Sr 0.000 0.000 0.000


Record 4
! Sr3YIr (GGA-PBE, optimized geometry); values from VASP
! M_tot: 0.00 μB/f.u.
! Symmetry: No. 221
! V: 40.05 Å³/atom
! ΔE_f: 0.144 eV per atom
! Relative energy among the computed polymorphs: 0 meV/atom
&SYSTEM
  ibrav = 0, nat = 5, ntyp = 3
/
ATOMIC_SPECIES
Sr 87.62 Sr.upf
Ir 192.22 Ir.upf
Y 88.91 Y.upf
CELL_PARAMETERS angstrom
5.850 0.000 0.000
0.000 5.850 0.000
0.000 0.000 5.850
ATOMIC_POSITIONS angstrom
Sr 0.000 0.000 2.925
Sr 2.925 0.000 0.000
Sr 0.000 2.925 0.000
Ir 0.000 0.000 0.000
Y 2.925 2.925 2.925


Record 5
! SrYIr4 (GGA-PBE, optimized geometry); values from VASP
! M_tot: 0.00 μB/f.u.
! Symmetry: No. 216
! V: 18.76 Å³/atom
! ΔE_f: -0.517 eV per atom
&SYSTEM
  ibrav = 0, nat = 6, ntyp = 3
/
ATOMIC_SPECIES
Ir 192.22 Ir.upf
Y 88.91 Y.upf
Sr 87.62 Sr.upf
CELL_PARAMETERS angstrom
-3.484 0.705 4.091
-1.573 -4.243 2.982
1.700 -0.491 5.122
ATOMIC_POSITIONS angstrom
Ir -0.355 -2.872 5.576
Ir -2.099 -2.518 7.624
Ir -1.311 -0.395 6.131
Ir -2.949 -2.273 5.059
Y 0.000 0.000 0.000
Sr -0.839 -1.007 3.049


Record 6
! SrYIr2 (GGA-PBE, optimized geometry); values from VASP
! M_tot: 0.00 μB/f.u.
! Symmetry: No. 122
! V: 22.84 Å³/atom
! ΔE_f: 0.100 eV per atom
! Relative energy among the computed polymorphs: 432 meV/atom
&SYSTEM
  ibrav = 0, nat = 8, ntyp = 3
/
ATOMIC_SPECIES
Sr 87.62 Sr.upf
Y 88.91 Y.upf
Ir 192.22 Ir.upf
CELL_PARAMETERS angstrom
-1.277 7.492 -1.483
-4.225 -1.945 -6.190
-5.255 2.690 -2.101
ATOMIC_POSITIONS angstrom
Sr -2.751 2.773 -3.836
Sr -6.116 1.759 -6.064
Y -4.641 6.477 -3.710
Y 0.000 0.000 0.000
Ir -4.091 0.255 -4.552
Ir -8.833 6.835 -8.404
Ir -5.927 4.133 -4.339
Ir -2.663 5.250 -2.253


Record 7
! SrY2Ir2 (GGA-PBE, optimized geometry); values from VASP
! M_tot: 0.00 μB/f.u.
! Symmetry: No. 127
! V: 24.09 Å³/atom
! ΔE_f: -0.500 eV per atom
! Relative energy among the computed polymorphs: 64 meV/atom
&SYSTEM
  ibrav = 0, nat = 10, ntyp = 3
/
ATOMIC_SPECIES
Y 88.91 Y.upf
Ir 192.22 Ir.upf
Sr 87.62 Sr.upf
CELL_PARAMETERS angstrom
8.178 0.000 0.000
0.000 8.178 0.000
0.000 0.000 3.602
ATOMIC_POSITIONS angstrom
Y 2.900 1.189 1.801
Y 5.278 6.989 1.801
Y 6.989 2.900 1.801
Y 1.189 5.278 1.801
Ir 5.262 1.173 0.000
Ir 1.173 2.916 0.000
Ir 2.916 7.005 0.000
Ir 7.005 5.262 0.000
Sr 4.089 4.089 0.000
Sr 0.000 0.000 0.000


Record 8
! SrYIr2 (GGA-PBE, optimized geometry); values from VASP
! M_tot: 0.00 μB/f.u.
! Symmetry: No. 8
! V: 21.89 Å³/atom
! ΔE_f: -0.183 eV per atom
! Relative energy among the computed polymorphs: 149 meV/atom
&SYSTEM
  ibrav = 0, nat = 4, ntyp = 3
/
ATOMIC_SPECIES
Ir 192.22 Ir.upf
Y 88.91 Y.upf
Sr 87.62 Sr.upf
CELL_PARAMETERS angstrom
-0.709 -4.208 4.193
2.087 -4.762 2.958
2.214 1.844 4.188
ATOMIC_POSITIONS angstrom
Ir 3.513 -6.886 11.051
Ir 0.961 -2.126 3.131
Y 2.791 -4.950 8.546
Sr 1.717 -3.854 5.620


Record 9
! SrYIr2 (GGA-PBE, optimized geometry); values from VASP
! M_tot: 0.28 μB/f.u.
! Symmetry: No. 216
! V: 20.54 Å³/atom
! ΔE_f: 0.135 eV per atom
! Relative energy among the computed polymorphs: 468 meV/atom
&SYSTEM
  ibrav = 0, nat = 4, ntyp = 3
/
ATOMIC_SPECIES
Sr 87.62 Sr.upf
Ir 192.22 Ir.upf
Y 88.91 Y.upf
CELL_PARAMETERS angstrom
-0.921 -1.397 4.584
-0.647 -4.726 1.027
3.386 -2.432 2.537
ATOMIC_POSITIONS angstrom
Sr 0.909 -4.277 4.074
Ir 0.454 -2.139 2.037
Ir 0.000 0.000 0.000
Y 1.363 -6.416 6.111


Record 10
! SrYIr2 (GGA-PBE, optimized geometry); values from VASP
! M_tot: 0.00 μB/f.u.
! Symmetry: No. 166
! V: 22.68 Å³/atom
! ΔE_f: 0.091 eV per atom
! Relative energy among the computed polymorphs: 423 meV/atom
&SYSTEM
  ibrav = 0, nat = 4, ntyp = 3
/
ATOMIC_SPECIES
Sr 87.62 Sr.upf
Y 88.91 Y.upf
Ir 192.22 Ir.upf
CELL_PARAMETERS angstrom
-4.038 7.916 0.616
-5.338 6.274 3.388
-2.242 7.838 3.589
ATOMIC_POSITIONS angstrom
Sr -2.905 5.507 1.898
Y -8.714 16.521 5.695
Ir -5.742 10.887 3.753
Ir -0.067 0.127 0.044


Record 11
! SrYIr2 (GGA-PBE, optimized geometry); values from VASP
! M_tot: 0.00 μB/f.u.
! Symmetry: No. 25
! V: 22.52 Å³/atom
! ΔE_f: 0.067 eV per atom
! Relative energy among the computed polymorphs: 399 meV/atom
&SYSTEM
  ibrav = 0, nat = 4, ntyp = 3
/
ATOMIC_SPECIES
Sr 87.62 Sr.upf
Y 88.91 Y.upf
Ir 192.22 Ir.upf
CELL_PARAMETERS angstrom
-0.337 2.611 -1.797
-2.889 -2.412 -2.963
-4.664 1.620 3.228
ATOMIC_POSITIONS angstrom
Sr -2.033 0.706 1.407
Y -5.466 1.438 0.286
Ir -4.394 1.526 3.041
Ir -2.994 0.579 -1.424


Record 12
! SrYIr2 (GGA-PBE, optimized geometry); values from VASP
! M_tot: 0.00 μB/f.u.
! Symmetry: No. 119
! V: 21.47 Å³/atom
! ΔE_f: 0.001 eV per atom
! Relative energy among the computed polymorphs: 333 meV/atom
&SYSTEM
  ibrav = 0, nat = 4, ntyp = 3
/
ATOMIC_SPECIES
Ir 192.22 Ir.upf
Sr 87.62 Sr.upf
Y 88.91 Y.upf
CELL_PARAMETERS angstrom
-4.758 1.650 2.706
-4.437 -3.605 -0.019
5.592 -0.260 1.160
ATOMIC_POSITIONS angstrom
Ir -1.721 -2.421 1.242
Ir 0.000 0.000 0.000
Sr -4.598 -0.977 1.343
Y -1.882 0.207 2.604